Here is KAg after structural relaxation from Alexandria. Energies are from GGA-PBE.

Properties
Raw total energy (eV for the cell shown): -14.7
Offset from the most stable computed form (eV/atom): 0.123

Unit cell a=6.790 b=6.790 c=6.833 alpha=90.00 beta=90.00 gamma=90.00
Fractional positions:
K 0.689 0.311 0.000
K 0.189 0.189 0.500
K 0.811 0.811 0.500
K 0.311 0.689 0.000
Ag 0.845 0.845 0.000
Ag 0.345 0.655 0.500
Ag 0.655 0.345 0.500
Ag 0.155 0.155 0.000

---

Here is KAg after structural relaxation from Alexandria. Energies are from GGA-PBE.

Properties
Raw total energy (eV for the cell shown): -22.6
Offset from the most stable computed form (eV/atom): 0.076

Unit cell a=3.776 b=9.551 c=12.533 alpha=90.00 beta=90.00 gamma=90.00
Fractional positions:
K 0.000 0.796 0.667
K 0.500 0.204 0.833
K 0.500 0.204 0.167
K 0.000 0.796 0.333
K 0.000 0.796 0.000
K 0.500 0.204 0.500
Ag 0.000 0.506 0.833
Ag 0.500 0.494 0.667
Ag 0.500 0.494 0.333
Ag 0.000 0.506 0.167
Ag 0.000 0.506 0.500
Ag 0.500 0.494 0.000

---

Here is KAg after structural relaxation from Alexandria. Energies are from GGA-PBE.

Properties
Raw total energy (eV for the cell shown): -29.2
Offset from the most stable computed form (eV/atom): 0.134

Unit cell a=9.992 b=9.992 c=9.992 alpha=90.00 beta=90.00 gamma=90.00
Fractional positions:
K 0.207 0.207 0.207
K 0.207 0.793 0.793
K 0.793 0.207 0.793
K 0.793 0.793 0.207
K 0.707 0.707 0.707
K 0.707 0.293 0.293
K 0.293 0.707 0.293
K 0.293 0.293 0.707
Ag 0.399 0.399 0.399
Ag 0.399 0.601 0.601
Ag 0.601 0.399 0.601
Ag 0.601 0.601 0.399
Ag 0.899 0.899 0.899
Ag 0.899 0.101 0.101
Ag 0.101 0.899 0.101
Ag 0.101 0.101 0.899

---

Here is KAg3 after structural relaxation from Alexandria. Energies are from GGA-PBE.

Properties
Raw total energy (eV for the cell shown): -17.1

Unit cell a=5.749 b=5.749 c=5.749 alpha=90.00 beta=90.00 gamma=90.00
Fractional positions:
K 0.000 0.000 0.000
K 0.500 0.500 0.500
Ag 0.750 0.500 0.000
Ag 0.250 0.500 0.000
Ag 0.000 0.750 0.500
Ag 0.000 0.250 0.500
Ag 0.500 0.000 0.250
Ag 0.500 0.000 0.750

---

Here is KAg2 after structural relaxation from Alexandria. Energies are from GGA-PBE.

Properties
Raw total energy (eV for the cell shown): -5.1

Unit cell a=5.316 b=5.316 c=5.316 alpha=60.00 beta=60.00 gamma=60.00
Fractional positions:
Ag 0.750 0.750 0.750
Ag 0.250 0.250 0.250
K 0.000 0.000 0.000

---

Here is KAg2 after structural relaxation from Alexandria. Energies are from GGA-PBE.

Properties
Raw total energy (eV for the cell shown): -6.6

Unit cell a=6.379 b=6.379 c=6.379 alpha=151.80 beta=138.65 gamma=50.80
Fractional positions:
K 0.000 0.000 0.000
Ag 0.284 0.284 0.000
Ag 0.716 0.716 0.000

---

Here is KAg2 after structural relaxation from Alexandria. Energies are from GGA-PBE.

Properties
Raw total energy (eV for the cell shown): -12.4

Unit cell a=2.935 b=5.845 c=8.976 alpha=90.00 beta=90.00 gamma=90.00
Fractional positions:
K 0.000 0.000 0.000
K 0.500 0.500 0.500
Ag 0.767 0.000 0.357
Ag 0.233 0.000 0.643
Ag 0.267 0.500 0.143
Ag 0.733 0.500 0.857

---

Here is K6Ag after structural relaxation from Alexandria. Energies are from GGA-PBE.

Properties
Raw total energy (eV for the cell shown): -36.9
Offset from the most stable computed form (eV/atom): 0.000

Unit cell a=8.081 b=14.079 c=15.549 alpha=90.00 beta=90.00 gamma=90.00
Fractional positions:
K 0.733 0.250 0.504
K 0.267 0.750 0.496
K 0.233 0.750 0.996
K 0.767 0.250 0.004
K 0.420 0.250 0.757
K 0.580 0.750 0.243
K 0.920 0.750 0.743
K 0.080 0.250 0.257
K 0.246 0.421 0.498
K 0.754 0.579 0.502
K 0.746 0.579 0.002
K 0.754 0.921 0.502
K 0.254 0.421 0.998
K 0.246 0.079 0.498
K 0.254 0.079 0.998
K 0.746 0.921 0.002
K 0.910 0.420 0.755
K 0.090 0.580 0.245
K 0.410 0.580 0.745
K 0.090 0.920 0.245
K 0.590 0.420 0.255
K 0.910 0.080 0.755
K 0.590 0.080 0.255
K 0.410 0.920 0.745
Ag 0.082 0.250 0.627
Ag 0.918 0.750 0.373
Ag 0.582 0.750 0.873
Ag 0.418 0.250 0.127

---

Here is KAg3 after structural relaxation from Alexandria. Energies are from GGA-PBE.

Properties
Raw total energy (eV for the cell shown): -8.6

Unit cell a=5.106 b=5.106 c=5.106 alpha=60.00 beta=60.00 gamma=60.00
Fractional positions:
Ag 0.000 0.000 0.000
Ag 0.250 0.250 0.250
Ag 0.500 0.500 0.500
K 0.750 0.750 0.750

---

Here is KAg3 after structural relaxation from Alexandria. Energies are from GGA-PBE.

Properties
Raw total energy (eV for the cell shown): -8.5

Unit cell a=3.152 b=3.152 c=10.328 alpha=90.00 beta=90.00 gamma=120.00
Fractional positions:
Ag 0.000 0.000 0.030
Ag 0.000 0.000 0.470
Ag 0.667 0.333 0.250
K 0.667 0.333 0.750

---

Here is K2Ag after structural relaxation from Alexandria. Energies are from GGA-PBE.

Properties
Raw total energy (eV for the cell shown): -9.7

Unit cell a=8.030 b=8.030 c=8.216 alpha=90.09 beta=90.09 gamma=32.17
Fractional positions:
Ag 0.024 0.024 0.927
Ag 0.253 0.253 0.427
K 0.655 0.655 0.707
K 0.622 0.622 0.207
K 0.919 0.919 0.533
K 0.359 0.359 0.032

---

Here is K3Ag4 after structural relaxation from Alexandria. Energies are from GGA-PBE.

Properties
Raw total energy (eV for the cell shown): -14.0
Offset from the most stable computed form (eV/atom): 0.000

Unit cell a=15.914 b=15.914 c=15.914 alpha=166.13 beta=166.13 gamma=19.67
Fractional positions:
K 0.000 0.000 0.000
K 0.685 0.685 0.000
K 0.315 0.315 0.000
Ag 0.895 0.895 0.000
Ag 0.105 0.105 0.000
Ag 0.582 0.582 0.000
Ag 0.418 0.418 0.000

---

Here is K2Ag7 after structural relaxation from Alexandria. Energies are from GGA-PBE.

Properties
Raw total energy (eV for the cell shown): -44.3

Unit cell a=5.824 b=5.824 c=14.667 alpha=78.55 beta=78.55 gamma=60.00
Fractional positions:
K 0.053 0.053 0.842
K 0.947 0.947 0.158
K 0.150 0.150 0.550
K 0.850 0.850 0.450
Ag 0.500 0.500 0.500
Ag 0.279 0.279 0.164
Ag 0.721 0.721 0.836
Ag 0.388 0.388 0.837
Ag 0.612 0.612 0.163
Ag 0.500 0.000 0.000
Ag 0.000 0.500 0.000
Ag 0.500 0.500 0.000
Ag 0.608 0.608 0.673
Ag 0.608 0.110 0.673
Ag 0.110 0.608 0.673
Ag 0.392 0.392 0.327
Ag 0.392 0.890 0.327
Ag 0.890 0.392 0.327

---

Here is KAg after structural relaxation from Alexandria. Energies are from GGA-PBE.

Properties
Raw total energy (eV for the cell shown): -11.6
Offset from the most stable computed form (eV/atom): 0.029

Unit cell a=6.576 b=6.576 c=8.791 alpha=51.14 beta=51.14 gamma=46.10
Fractional positions:
Ag 0.999 0.999 0.911
Ag 0.604 0.604 0.705
Ag 0.691 0.691 0.306
K 0.374 0.374 0.306
K 0.932 0.932 0.605
K 0.233 0.233 0.001

---

Here is KAg3 after structural relaxation from Alexandria. Energies are from GGA-PBE.

Properties
Raw total energy (eV for the cell shown): -8.7

Unit cell a=5.438 b=5.438 c=3.049 alpha=90.00 beta=90.00 gamma=90.00
Fractional positions:
Ag 0.000 0.000 0.000
Ag 0.500 0.000 0.500
Ag 0.500 0.500 0.000
K 0.000 0.500 0.500

---

Here is KAg after structural relaxation from Alexandria. Energies are from GGA-PBE.

Properties
Raw total energy (eV for the cell shown): -22.1
Offset from the most stable computed form (eV/atom): 0.116

Unit cell a=6.063 b=6.224 c=11.087 alpha=90.00 beta=90.00 gamma=90.00
Fractional positions:
K 0.498 0.000 0.336
K 0.502 0.500 0.836
K 0.502 0.500 0.164
K 0.498 0.000 0.664
K 0.101 0.000 0.000
K 0.899 0.500 0.500
Ag 0.000 0.250 0.250
Ag 0.000 0.250 0.750
Ag 0.000 0.750 0.250
Ag 0.000 0.750 0.750
Ag 0.991 0.500 0.000
Ag 0.009 0.000 0.500

---

Here is K6Ag after structural relaxation from Alexandria. Energies are from GGA-PBE.

Properties
Raw total energy (eV for the cell shown): -5.7
Offset from the most stable computed form (eV/atom): 0.505

Unit cell a=9.722 b=9.722 c=9.722 alpha=109.47 beta=109.47 gamma=109.47
Fractional positions:
K 0.250 0.750 0.500
K 0.500 0.750 0.250
K 0.250 0.500 0.750
K 0.750 0.250 0.500
K 0.500 0.250 0.750
K 0.750 0.500 0.250
Ag 0.000 0.000 0.000

---

Here is KAg after structural relaxation from Alexandria. Energies are from GGA-PBE.

Properties
Raw total energy (eV for the cell shown): -7.6
Offset from the most stable computed form (eV/atom): 0.065

Unit cell a=5.829 b=4.001 c=5.839 alpha=90.00 beta=96.32 gamma=90.00
Fractional positions:
K 0.718 0.500 0.282
K 0.282 0.500 0.718
Ag 0.190 0.000 0.189
Ag 0.810 0.000 0.811

---

Here is KAg3 after structural relaxation from Alexandria. Energies are from GGA-PBE.

Properties
Raw total energy (eV for the cell shown): -9.0

Unit cell a=3.430 b=3.430 c=8.210 alpha=90.00 beta=90.00 gamma=89.97
Fractional positions:
Ag 0.000 0.000 0.936
Ag 0.500 0.500 0.750
Ag 0.000 0.000 0.564
K 0.500 0.500 0.250

---

Here is KAg after structural relaxation from Alexandria. Energies are from GGA-PBE.

Properties
Raw total energy (eV for the cell shown): -3.8
Offset from the most stable computed form (eV/atom): 0.075

Unit cell a=4.092 b=4.092 c=4.092 alpha=90.00 beta=90.00 gamma=90.00
Fractional positions:
K 0.000 0.000 0.000
Ag 0.500 0.500 0.500

---

Here is KAg2 after structural relaxation from Alexandria. Energies are from GGA-PBE.

Properties
Raw total energy (eV for the cell shown): -26.1

Unit cell a=4.819 b=6.339 c=11.837 alpha=90.00 beta=90.00 gamma=90.00
Fractional positions:
K 0.250 0.614 0.362
K 0.750 0.886 0.862
K 0.250 0.114 0.138
K 0.750 0.386 0.638
Ag 0.250 0.832 0.652
Ag 0.750 0.668 0.152
Ag 0.250 0.332 0.848
Ag 0.750 0.168 0.348
Ag 0.250 0.099 0.459
Ag 0.750 0.401 0.959
Ag 0.250 0.599 0.041
Ag 0.750 0.901 0.541

---

Here is KAg3 after structural relaxation from Alexandria. Energies are from GGA-PBE.

Properties
Raw total energy (eV for the cell shown): -9.1

Unit cell a=3.081 b=4.601 c=7.184 alpha=90.00 beta=90.00 gamma=90.00
Fractional positions:
K 0.000 0.500 0.298
Ag 0.000 0.000 0.936
Ag 0.500 0.000 0.595
Ag 0.500 0.500 0.838

---

Here is KAg after structural relaxation from Alexandria. Energies are from GGA-PBE.

Properties
Raw total energy (eV for the cell shown): -30.0
Offset from the most stable computed form (eV/atom): 0.087

Unit cell a=9.808 b=9.808 c=5.859 alpha=90.00 beta=90.00 gamma=90.00
Fractional positions:
K 0.221 0.500 0.000
K 0.779 0.500 0.000
K 0.500 0.779 0.000
K 0.500 0.221 0.000
K 0.721 0.000 0.500
K 0.279 0.000 0.500
K 0.000 0.279 0.500
K 0.000 0.721 0.500
Ag 0.855 0.855 0.000
Ag 0.855 0.145 0.000
Ag 0.145 0.855 0.000
Ag 0.145 0.145 0.000
Ag 0.355 0.355 0.500
Ag 0.355 0.645 0.500
Ag 0.645 0.355 0.500
Ag 0.645 0.645 0.500

---

Number 1: total moment 0.000 μB/f.u.. Number 2: total moment 0.000 μB/f.u.. Number 3: total moment 0.000 μB/f.u.. Number 4: total moment 0.000 μB/f.u.. Number 5: total moment 0.000 μB/f.u.. Number 6: total moment 0.000 μB/f.u.. Number 7: total moment 0.000 μB/f.u.. Number 8: total moment 0.000 μB/f.u.. Number 9: total moment 0.000 μB/f.u.. Number 10: total moment 0.000 μB/f.u.. Number 11: total moment 0.000 μB/f.u.. Number 12: total moment 0.000 μB/f.u.. Number 13: total moment 0.000 μB/f.u.. Number 14: total moment 0.000 μB/f.u.. Number 15: total moment 0.000 μB/f.u.. Number 16: total moment 0.000 μB/f.u.. Number 17: total moment 0.000 μB/f.u.. Number 18: total moment 0.000 μB/f.u.. Number 19: total moment 0.000 μB/f.u.. Number 20: total moment 0.000 μB/f.u.. Number 21: total moment 0.000 μB/f.u.. Number 22: total moment 0.000 μB/f.u.. Number 23: total moment 0.000 μB/f.u..